! La2AlAu PBE optimized geometry; values from VASP
! - space group = P2_1/m (11)
! - ΔH_f (0 K) (eV/atom) = -0.5561
! - volume (A^3/atom) = 28.5
! - density (g cm⁻³) = 7.3
! - Fermi-level density of states (states/eV/atom) = 0.81
&SYSTEM
  ibrav = 0, nat = 8, ntyp = 3
/
ATOMIC_SPECIES
Al 26.98 Al.upf
La 138.91 La.upf
Au 196.97 Au.upf
CELL_PARAMETERS angstrom
-1.034 3.541 2.598
-3.734 1.907 -4.086
-3.698 -5.914 6.588
ATOMIC_POSITIONS crystal
Al 0.250 0.379 0.719
Al 0.750 0.621 0.281
La 0.250 0.799 0.079
La 0.750 0.201 0.921
La 0.750 0.220 0.431
La 0.250 0.780 0.569
Au 0.250 0.371 0.209
Au 0.750 0.629 0.791

! Ca3CdGe2Au6 PBE optimized geometry; values from VASP
! - space group = P-3m1 (164)
! - ΔH_f (0 K) (eV/atom) = -0.4001
! - volume (A^3/atom) = 23.6
! - density (g cm⁻³) = 9.2
! - Fermi-level density of states (states/eV/atom) = 0.38
&SYSTEM
  ibrav = 0, nat = 12, ntyp = 4
/
ATOMIC_SPECIES
Au 196.97 Au.upf
Ge 72.64 Ge.upf
Ca 40.08 Ca.upf
Cd 112.41 Cd.upf
CELL_PARAMETERS angstrom
-3.854 3.634 -2.607
-1.118 -2.108 5.400
4.388 7.368 3.785
ATOMIC_POSITIONS crystal
Au 0.340 0.170 0.731
Au 0.660 0.830 0.269
Au 0.170 0.830 0.269
Au 0.170 0.340 0.269
Au 0.830 0.660 0.731
Au 0.830 0.170 0.731
Ge 0.667 0.333 0.955
Ge 0.333 0.667 0.045
Ca 0.333 0.667 0.607
Ca 0.667 0.333 0.393
Ca 0.000 0.000 0.000
Cd 0.000 0.000 0.500

! Pr3Zn3Ga2 PBE optimized geometry; values from VASP
! - space group = Cmcm (63)
! - ΔH_f (0 K) (eV/atom) = -0.4588
! - volume (A^3/atom) = 23.2
! - density (g cm⁻³) = 6.8
! - Fermi-level density of states (states/eV/atom) = 0.69
&SYSTEM
  ibrav = 0, nat = 16, ntyp = 3
/
ATOMIC_SPECIES
Pr 140.91 Pr.upf
Zn 65.41 Zn.upf
Ga 69.72 Ga.upf
CELL_PARAMETERS angstrom
4.554 0.000 0.000
-2.277 5.410 0.000
0.000 0.000 15.090
ATOMIC_POSITIONS crystal
Pr 0.613 0.226 0.250
Pr 0.898 0.797 0.395
Pr 0.102 0.203 0.605
Pr 0.387 0.774 0.750
Pr 0.102 0.203 0.895
Pr 0.898 0.797 0.105
Zn 0.614 0.228 0.464
Zn 0.323 0.647 0.250
Zn 0.386 0.772 0.964
Zn 0.677 0.353 0.750
Zn 0.386 0.772 0.536
Zn 0.614 0.228 0.036
Ga 0.803 0.606 0.898
Ga 0.197 0.394 0.398
Ga 0.803 0.606 0.602
Ga 0.197 0.394 0.102

! Al2CrRh PBE optimized geometry; values from VASP
! - space group = Imm2 (44)
! - E above lowest polymorph (kJ per mole of atoms) = 17.8
! - ΔH_f (0 K) (eV/atom) = -0.3773
! - volume (A^3/atom) = 13.9
! - density (g cm⁻³) = 6.2
! - Fermi-level density of states (states/eV/atom) = 0.80
&SYSTEM
  ibrav = 0, nat = 4, ntyp = 3
/
ATOMIC_SPECIES
Al 26.98 Al.upf
Rh 102.91 Rh.upf
Cr 52.00 Cr.upf
CELL_PARAMETERS angstrom
5.114 0.007 0.011
2.509 4.456 -0.011
-3.396 -2.941 2.443
ATOMIC_POSITIONS crystal
Al 0.010 0.010 0.000
Al 0.744 0.244 0.500
Rh 0.250 0.750 0.500
Cr 0.496 0.496 0.000

! Li3Ce2PdSe6 PBE optimized geometry; values from VASP
! - raw total energy (eV for the cell shown) = -58.797
! - space group = C2/m (12)
! - volume (A^3/atom) = 22.4
! - density (g cm⁻³) = 5.4
! - Fermi-level density of states (states/eV/atom) = 0.97
&SYSTEM
  ibrav = 0, nat = 12, ntyp = 4
/
ATOMIC_SPECIES
Ce 140.12 Ce.upf
Se 78.96 Se.upf
Li 6.94 Li.upf
Pd 106.42 Pd.upf
CELL_PARAMETERS angstrom
6.922 0.002 0.017
-3.458 5.997 0.017
-1.139 -1.973 6.474
ATOMIC_POSITIONS crystal
Ce 0.331 0.669 0.000
Ce 0.669 0.331 0.000
Se 0.768 0.768 0.246
Se 0.911 0.589 0.740
Se 0.232 0.232 0.754
Se 0.589 0.911 0.740
Se 0.089 0.411 0.260
Se 0.411 0.089 0.260
Li 0.163 0.837 0.500
Li 0.500 0.500 0.500
Li 0.837 0.163 0.500
Pd 0.000 0.000 0.000

! YTiRu2N PBE optimized geometry; values from VASP
! - raw total energy (eV for the cell shown) = -33.414
! - space group = P4/mmm (123)
! - volume (A^3/atom) = 22.0
! - density (g cm⁻³) = 5.3
! - Fermi-level density of states (states/eV/atom) = 0.66
&SYSTEM
  ibrav = 0, nat = 5, ntyp = 4
/
ATOMIC_SPECIES
Ru 101.07 Ru.upf
Ti 47.87 Ti.upf
N 14.01 N.upf
Y 88.91 Y.upf
CELL_PARAMETERS angstrom
-4.014 1.162 1.158
1.515 -0.385 5.639
1.196 4.168 -0.037
ATOMIC_POSITIONS crystal
Ru 0.000 0.000 0.500
Ru 0.500 0.000 0.000
Ti 0.000 0.000 0.000
N 0.500 0.500 0.500
Y 0.000 0.500 0.000

! Sm4CoSn PBE optimized geometry; values from VASP
! - space group = C2/m (12)
! - ΔH_f (0 K) (eV/atom) = -0.3237
! - volume (A^3/atom) = 27.5
! - density (g cm⁻³) = 7.8
! - Fermi-level density of states (states/eV/atom) = 1.12
&SYSTEM
  ibrav = 0, nat = 12, ntyp = 3
/
ATOMIC_SPECIES
Sm 150.36 Sm.upf
Sn 118.71 Sn.upf
Co 58.93 Co.upf
CELL_PARAMETERS angstrom
-3.320 2.020 4.543
0.736 -6.283 3.331
7.672 4.724 -0.456
ATOMIC_POSITIONS crystal
Sm 0.620 0.369 0.236
Sm 0.000 0.221 0.000
Sm 0.620 0.867 0.236
Sm 0.380 0.631 0.764
Sm 0.809 0.315 0.631
Sm 0.380 0.133 0.764
Sm 0.000 0.779 0.000
Sm 0.191 0.685 0.369
Sn 0.194 0.195 0.390
Sn 0.806 0.805 0.610
Co 0.713 0.497 0.994
Co 0.287 0.503 0.006

Question: Which formula does entry 6 have?
Answer: YTiRu2N

Repeat the first record exactly.
! La2AlAu PBE optimized geometry; values from VASP
! - space group = P2_1/m (11)
! - ΔH_f (0 K) (eV/atom) = -0.5561
! - volume (A^3/atom) = 28.5
! - density (g cm⁻³) = 7.3
! - Fermi-level density of states (states/eV/atom) = 0.81
&SYSTEM
  ibrav = 0, nat = 8, ntyp = 3
/
ATOMIC_SPECIES
Al 26.98 Al.upf
La 138.91 La.upf
Au 196.97 Au.upf
CELL_PARAMETERS angstrom
-1.034 3.541 2.598
-3.734 1.907 -4.086
-3.698 -5.914 6.588
ATOMIC_POSITIONS crystal
Al 0.250 0.379 0.719
Al 0.750 0.621 0.281
La 0.250 0.799 0.079
La 0.750 0.201 0.921
La 0.750 0.220 0.431
La 0.250 0.780 0.569
Au 0.250 0.371 0.209
Au 0.750 0.629 0.791

Question: Among the records above, which one has the highest density?
Answer: Ca3CdGe2Au6

Question: Look up the density of the second one.
Answer: 9.2 g cm⁻³